# 1
Compound: AcHoSn
Source: Alexandria
Functional: GGA-PBE
Structure: optimized geometry

Computed properties:
E_form in eV/f.u.: -1.08
Energy relative to the lowest polymorph listed for this composition in meV per atom: 206
SG: I4mm (107)
Raw total energy in eV per cell: -13.8

extended XYZ file:
```
3
Lattice="4.166 0.000 0.000 0.000 4.166 0.000 -2.083 -2.083 5.613" Properties=species:S:1:pos:R:3 pbc="T T T"
Ac 0.000 0.000 3.661
Sn 2.083 2.083 1.622
Ho 0.000 0.000 0.330
```

---

# 2
Compound: Ac5HoSn4
Source: Alexandria
Functional: GGA-PBE
Structure: optimized geometry

Computed properties:
E_form in eV/f.u.: -4.89
SG: C2/m (12)
Raw total energy in eV per cell: -46.0

extended XYZ file:
```
10
Lattice="5.576 0.000 0.000 0.000 7.181 -2.813 -2.788 -3.747 10.915" Properties=species:S:1:pos:R:3 pbc="T T T"
Ac 0.000 4.690 1.256
Sn 2.788 -0.605 3.465
Sn 0.000 4.038 4.636
Sn 2.788 1.730 8.643
Sn 0.000 1.704 -0.542
Ho 2.788 0.000 0.000
Ac 2.788 3.591 -1.407
Ac 0.000 1.108 2.719
Ac 2.788 -1.256 6.845
Ac 2.788 2.326 5.382
```

---

# 3
Compound: AcHo3Sn3
Source: Alexandria
Functional: GGA-PBE
Structure: optimized geometry

Computed properties:
E_form in eV/f.u.: -3.72
SG: P6_3/m (176)
Raw total energy in eV per cell: -67.1

extended XYZ file:
```
14
Lattice="5.424 0.000 0.000 0.000 9.431 0.000 0.000 -4.716 8.168" Properties=species:S:1:pos:R:3 pbc="T T T"
Sn 1.356 1.404 3.591
Ho 1.356 2.222 0.005
Ho 1.356 3.609 6.240
Ac 4.068 0.000 5.445
Sn 1.356 0.904 7.588
Ho 4.068 -3.600 6.245
Sn 4.068 3.812 0.580
Ho 1.356 8.316 1.922
Sn 1.356 -2.308 5.157
Sn 4.068 3.312 4.577
Ho 4.068 1.107 1.927
Sn 4.068 7.023 3.011
Ho 4.068 2.493 8.163
Ac 1.356 4.716 2.723
```

---

# 4
Compound: Ac4HoSn2
Source: Alexandria
Functional: GGA-PBE
Structure: optimized geometry

Computed properties:
E_form in eV/f.u.: -1.69
SG: P1 (1)
Raw total energy in eV per cell: -61.4

extended XYZ file:
```
14
Lattice="-4.606 -0.828 9.059 6.822 -4.741 3.301 0.011 8.055 -2.520" Properties=species:S:1:pos:R:3 pbc="T T T"
Ac -0.262 -1.436 9.815
Ac 0.345 2.030 7.072
Sn -1.272 -1.194 6.220
Ac -0.755 4.256 1.203
Ac -1.366 1.274 3.937
Ho 0.854 -0.788 2.180
Sn 2.373 -3.240 8.663
Sn 2.540 4.753 -0.265
Ac 2.271 -1.753 5.460
Sn -0.019 4.268 4.523
Ac -3.199 0.699 8.350
Ho 4.810 3.471 1.369
Ac 2.874 2.084 4.126
Ac -3.293 4.669 5.622
```

---

# 5
Compound: AcHoSn
Source: Alexandria
Functional: GGA-PBE
Structure: optimized geometry

Computed properties:
E_form in eV/f.u.: -0.52
Energy relative to the lowest polymorph listed for this composition in meV per atom: 395
SG: P3m1 (156)
Raw total energy in eV per cell: -13.2

extended XYZ file:
```
3
Lattice="3.741 0.000 0.000 -1.870 3.240 0.000 0.000 0.000 8.441" Properties=species:S:1:pos:R:3 pbc="T T T"
Ho 1.870 1.080 3.043
Ac 0.000 0.000 8.335
Sn 0.000 2.160 5.504
```

---

# 6
Compound: Ac2Ho3Sn4
Source: Alexandria
Functional: GGA-PBE
Structure: optimized geometry

Computed properties:
E_form in eV/f.u.: -6.01
SG: Cmce (64)
Raw total energy in eV per cell: -87.9

extended XYZ file:
```
18
Lattice="7.179 0.000 0.000 0.000 9.045 0.000 -3.590 0.000 8.802" Properties=species:S:1:pos:R:3 pbc="T T T"
Ac 3.590 8.256 1.951
Ho 5.384 2.261 3.675
Ac 0.000 5.311 1.951
Sn 3.590 0.468 5.500
Sn -1.795 6.784 8.160
Sn 3.590 4.990 3.302
Sn 1.795 2.261 0.641
Sn 0.000 4.054 5.500
Ac 3.590 3.734 6.851
Ac 0.000 0.788 6.851
Ho -1.795 6.784 5.127
Ho 1.795 2.261 3.675
Ho 3.590 4.522 0.000
Sn 5.384 2.261 0.641
Sn 1.795 6.784 8.160
Ho 1.795 6.784 5.127
Ho 0.000 0.000 0.000
Sn 0.000 8.577 3.302
```